Run a
ZrFe2Tc, relaxed, DFT GGA-PBE; symmetry = P4mm (99)
1.0
-2.511 1.808 -0.468
-1.771 -2.056 1.559
1.154 2.948 5.200
Fe Tc Zr
2 1 1
direct
0.000 0.000 0.028
0.500 0.500 0.245
0.000 0.000 0.465
0.500 0.500 0.761

---

Run b
ZrFe2Tc, relaxed, DFT GGA-PBE; symmetry = Imm2 (44)
1.0
-0.845 1.086 -4.930
-3.208 -0.663 -3.934
-2.762 3.311 -0.737
Fe Tc Zr
2 1 1
direct
0.015 0.015 0.985
0.747 0.747 0.753
0.486 0.486 0.514
0.251 0.251 0.249

---

Decreasing stability: run a, run b